#A
VASP calculation (meta-GGA SCAN) on a crystal of BeCd2Se relaxed with PBEsol. Values from VASP.

Output
Magnetization   0.000 μB per formula unit
SG   Fm-3m
V   78.4 Å³ per cell

```
&SYSTEM
  ibrav = 0, nat = 4, ntyp = 3
/
ATOMIC_SPECIES
Cd 112.41 Cd.upf
Se 78.96 Se.upf
Be 9.01 Be.upf
CELL_PARAMETERS angstrom
-3.577 0.318 -3.192
-3.377 -3.414 -0.172
-4.467 0.962 1.486
ATOMIC_POSITIONS angstrom
Cd -8.566 -1.600 -1.408
Cd -2.855 -0.533 -0.469
Se -5.711 -1.066 -0.939
Be 0.000 0.000 0.000
```



#B
VASP calculation (meta-GGA SCAN) on a crystal of BeCd2Se relaxed with PBEsol. Values from VASP.

Output
Magnetization   0.000 μB per formula unit
SG   Pmmm
V   73.0 Å³ per cell

```
&SYSTEM
  ibrav = 0, nat = 4, ntyp = 3
/
ATOMIC_SPECIES
Cd 112.41 Cd.upf
Se 78.96 Se.upf
Be 9.01 Be.upf
CELL_PARAMETERS angstrom
-0.404 -1.268 -2.428
2.786 -1.831 0.493
-4.250 -5.502 3.581
ATOMIC_POSITIONS angstrom
Cd -1.242 -1.608 1.047
Cd -3.008 -3.894 2.534
Se 1.191 -1.550 -0.968
Be -0.934 -4.301 0.823
```



From most stable to least stable, the computed energies give #B, #A.